{"formula": "PmDyTe2Cl", "functional": "PBE-GGA", "state": "relaxed", "cell": [[4.3315, 0.0000, 0.0000], [0.0000, 4.3315, 0.0000], [0.0000, 0.0000, 15.0049]], "species": ["Te", "Te", "Te", "Te", "Dy", "Dy", "Pm", "Pm", "Cl", "Cl"], "fractional_positions": [[0.0000, 0.5000, 0.7056], [0.5000, 0.0000, 0.8765], [0.5000, 0.0000, 0.2944], [0.0000, 0.5000, 0.1235], [0.5000, 0.0000, 0.0835], [0.0000, 0.5000, 0.9165], [0.5000, 0.0000, 0.6332], [0.0000, 0.5000, 0.3668], [0.5000, 0.5000, 0.5000], [0.0000, 0.0000, 0.5000]], "n_ef_per_ev_fu": 1.37, "magnetic_moment_mub_per_fu": 0.00, "e_form_raw_kj_per_mol_atoms": -154, "mass_density_kg_m3": 7056, "crystal_system": "tetragonal", "final_energy_ev_per_atom": -5.093}


{"formula": "Pr2DyCl8", "functional": "PBE-GGA", "state": "relaxed", "cell": [[5.7929, -0.1404, -0.2107], [-1.1527, 7.4567, -0.1254], [-1.1527, -2.9876, 6.8332]], "species": ["Pr", "Pr", "Cl", "Cl", "Cl", "Cl", "Cl", "Cl", "Cl", "Cl", "Dy"], "fractional_positions": [[0.0000, 0.6904, 0.3096], [0.0000, 0.3096, 0.6904], [0.6823, 0.3486, 0.3486], [0.3177, 0.6514, 0.6514], [0.8967, 0.9226, 0.6633], [0.1033, 0.0774, 0.3367], [0.5000, 0.7862, 0.2138], [0.1033, 0.3367, 0.0774], [0.8967, 0.6633, 0.9226], [0.5000, 0.2138, 0.7862], [0.5000, 0.0000, 0.0000]], "n_ef_per_ev_fu": 4.24, "magnetic_moment_mub_per_fu": 1.04, "e_form_raw_kj_per_mol_atoms": -195, "mass_density_kg_m3": 4178, "crystal_system": "monoclinic", "final_energy_ev_per_atom": -4.648}


{"formula": "PrDyCl4", "functional": "PBE-GGA", "state": "relaxed", "cell": [[6.7675, -0.5332, 0.0000], [-1.7835, 6.6343, 0.0000], [-2.4920, -3.0505, 8.2118]], "species": ["Cl", "Cl", "Cl", "Cl", "Cl", "Cl", "Cl", "Cl", "Pr", "Pr", "Dy", "Dy"], "fractional_positions": [[0.6839, 0.9320, 0.3448], [0.8391, 0.5872, 0.6552], [0.0794, 0.8441, 0.1365], [0.9206, 0.1559, 0.8635], [0.5571, 0.2924, 0.1365], [0.4429, 0.7076, 0.8635], [0.3161, 0.0680, 0.6552], [0.1609, 0.4128, 0.3448], [0.6939, 0.4439, 0.8878], [0.3061, 0.5561, 0.1122], [0.1881, 0.9381, 0.8763], [0.8119, 0.0619, 0.1237]], "n_ef_per_ev_fu": 3.25, "magnetic_moment_mub_per_fu": 0.00, "e_form_raw_kj_per_mol_atoms": -182, "mass_density_kg_m3": 4097, "crystal_system": "monoclinic", "final_energy_ev_per_atom": -4.684}